## a
The following is a GGA-PBE calculation of a relaxed BeOsCl crystal, from Alexandria.

Cell: 4.118 4.118 2.773 Å, 90.00 90.00 120.00°
Sites, in units of the cell vectors:
Be1 0.000 0.000 0.000
Os1 0.333 0.667 0.500
Cl1 0.667 0.333 0.500

Summary:
Space-group type: P-6m2, No. 187

## b
The following is a GGA-PBE calculation of a relaxed BeOsCl crystal, from Alexandria.

Cell: 2.791 2.791 7.544 Å, 90.00 90.00 120.00°
Sites, in units of the cell vectors:
Be1 0.000 0.000 0.000
Os1 0.333 0.667 0.744
Cl1 0.667 0.333 0.174

Summary:
Space-group type: P3m1, No. 156

## c
The following is a GGA-PBE calculation of a relaxed BeOsCl crystal, from Alexandria.

Cell: 5.586 5.586 5.586 Å, 90.00 90.00 90.00°
Sites, in units of the cell vectors:
Be1 0.000 0.000 0.000
Be2 0.000 0.500 0.500
Be3 0.500 0.000 0.500
Be4 0.500 0.500 0.000
Os1 0.250 0.250 0.750
Os2 0.250 0.750 0.250
Os3 0.750 0.250 0.250
Os4 0.750 0.750 0.750
Cl1 0.250 0.250 0.250
Cl2 0.250 0.750 0.750
Cl3 0.750 0.250 0.750
Cl4 0.750 0.750 0.250

Summary:
Space-group type: F-43m, No. 216

Q: Which of them is the most stable? A: b.

## a
The following is a GGA-PBE calculation of a relaxed BeOsCl crystal, from Alexandria.

Cell: 2.876 2.876 12.183 Å, 90.00 90.00 90.00°
Sites, in units of the cell vectors:
Be1 0.000 0.000 0.000
Be2 0.500 0.500 0.500
Os1 0.000 0.000 0.593
Os2 0.500 0.500 0.093
Cl1 0.000 0.000 0.239
Cl2 0.500 0.500 0.739

Summary:
Space-group type: I4mm, No. 107

## b
The following is a GGA-PBE calculation of a relaxed BeOsCl crystal, from Alexandria.

Cell: 5.666 5.666 5.666 Å, 90.00 90.00 90.00°
Sites, in units of the cell vectors:
Be1 0.000 0.000 0.000
Be2 0.000 0.500 0.500
Be3 0.500 0.000 0.500
Be4 0.500 0.500 0.000
Os1 0.250 0.250 0.750
Os2 0.250 0.750 0.250
Os3 0.750 0.250 0.250
Os4 0.750 0.750 0.750
Cl1 0.000 0.000 0.500
Cl2 0.000 0.500 0.000
Cl3 0.500 0.000 0.000
Cl4 0.500 0.500 0.500

Summary:
Space-group type: F-43m, No. 216

Q: Which of them is the most stable? A: a.

## a
The following is a GGA-PBE calculation of a relaxed BeOsCl crystal, from Alexandria.

Cell: 2.792 4.846 15.029 Å, 90.00 90.00 90.00°
Sites, in units of the cell vectors:
Be1 0.000 0.000 0.000
Be2 0.000 0.500 0.500
Be3 0.500 0.000 0.500
Be4 0.500 0.500 0.000
Os1 0.000 0.000 0.630
Os2 0.000 0.500 0.130
Os3 0.500 0.000 0.130
Os4 0.500 0.500 0.630
Cl1 0.000 0.000 0.403
Cl2 0.000 0.500 0.903
Cl3 0.500 0.000 0.903
Cl4 0.500 0.500 0.403

Summary:
Space-group type: Fmm2, No. 42

## b
The following is a GGA-PBE calculation of a relaxed BeOsCl crystal, from Alexandria.

Cell: 2.813 2.813 11.548 Å, 90.00 90.00 90.00°
Sites, in units of the cell vectors:
Be1 0.000 0.000 0.000
Be2 0.500 0.500 0.500
Os1 0.000 0.000 0.387
Os2 0.500 0.500 0.887
Cl1 0.000 0.000 0.187
Cl2 0.500 0.500 0.687

Summary:
Space-group type: I4mm, No. 107

Q: Which of them is the most stable? A: a.

## a
The following is a GGA-PBE calculation of a relaxed BeOsCl3 crystal, from Alexandria.

Cell: 4.488 4.488 4.488 Å, 90.00 90.00 90.00°
Sites, in units of the cell vectors:
Be1 0.000 0.000 0.000
Os1 0.500 0.500 0.500
Cl1 0.000 0.000 0.500
Cl2 0.000 0.500 0.000
Cl3 0.500 0.000 0.000

Summary:
Space-group type: Pm-3m, No. 221

## b
The following is a GGA-PBE calculation of a relaxed BeOsCl3 crystal, from Alexandria.

Cell: 4.802 4.802 4.802 Å, 90.00 90.00 90.00°
Sites, in units of the cell vectors:
Be1 0.000 0.000 0.000
Os1 0.500 0.500 0.500
Cl1 0.000 0.500 0.500
Cl2 0.500 0.000 0.500
Cl3 0.500 0.500 0.000

Summary:
Space-group type: Pm-3m, No. 221

Q: Which of them is the most stable? A: a.

## a
The following is a GGA-PBE calculation of a relaxed BeP2OsCl crystal, from Alexandria.

Cell: 4.122 4.122 4.328 Å, 90.00 90.00 90.00°
Sites, in units of the cell vectors:
Be1 0.000 0.000 0.000
P1 0.000 0.500 0.000
P2 0.500 0.000 0.000
Os1 0.500 0.500 0.500
Cl1 0.000 0.000 0.500

Summary:
Space-group type: P4/mmm, No. 123

## b
The following is a GGA-PBE calculation of a relaxed BeP2OsCl crystal, from Alexandria.

Cell: 4.523 4.523 5.096 Å, 90.00 90.00 90.00°
Sites, in units of the cell vectors:
Be1 0.000 0.000 0.000
P1 0.000 0.500 0.500
P2 0.500 0.000 0.500
Os1 0.500 0.500 0.500
Cl1 0.500 0.500 0.000

Summary:
Space-group type: P4/mmm, No. 123

Q: Which of them is the most stable? A: b.

## a
The following is a GGA-PBE calculation of a relaxed BeOsSCl2 crystal, from Alexandria.

Cell: 4.047 4.047 5.825 Å, 90.00 90.00 90.00°
Sites, in units of the cell vectors:
Be1 0.000 0.000 0.000
Os1 0.500 0.500 0.500
S1 0.000 0.000 0.500
Cl1 0.000 0.500 0.000
Cl2 0.500 0.000 0.000

Summary:
Space-group type: P4/mmm, No. 123

## b
The following is a GGA-PBE calculation of a relaxed BeOsSCl2 crystal, from Alexandria.

Cell: 4.943 4.943 4.413 Å, 90.00 90.00 90.00°
Sites, in units of the cell vectors:
Be1 0.000 0.000 0.000
Os1 0.500 0.500 0.500
S1 0.500 0.500 0.000
Cl1 0.000 0.500 0.500
Cl2 0.500 0.000 0.500

Summary:
Space-group type: P4/mmm, No. 123

Q: Which of them is the most stable? A: b.